ZnCu2Au (SCAN, PBEsol geometry); V = 53.2 Å³/f.u.; final energy = -28.4122 eV/atom
1.0
-3.0677 1.5934 1.5109
-2.1510 -2.8122 -1.4016
3.1294 -1.3387 3.0557
Cu Au Zn
2 1 1
direct
0.7506 0.7506 0.5012
0.2494 0.2494 0.4988
0.0000 0.5000 0.0000
0.5000 0.0000 0.0000